No. 1
# GGA-PBE Li3VPt, relaxed
# Calculated density in g/cm3: 4.48
# Calculated total energy in eV per cell: -18.5
# V in Å³ per atom: 19.79
# N(E_F) in states/eV per atom: 1.496
# Calculated formation energy in eV per formula unit: 2.40
data_Li3VPt
_symmetry_space_group_name_H-M 'P m -3 m'
_symmetry_Int_Tables_number 221
_symmetry_space_group_name_Hall '-P 4 2 3'
_cell_length_a 4.625
_cell_length_b 4.625
_cell_length_c 4.625
_cell_angle_alpha 90.00
_cell_angle_beta 90.00
_cell_angle_gamma 90.00
loop_
_atom_site_label
_atom_site_fract_x
_atom_site_fract_y
_atom_site_fract_z
Li1 0.000 0.000 0.500
V1 0.500 0.500 0.500
Pt1 0.000 0.000 0.000

No. 2
# GGA-PBE LiVPt3, relaxed
# Calculated density in g/cm3: 14.34
# Calculated total energy in eV per cell: -27.8
# V in Å³ per atom: 14.89
# N(E_F) in states/eV per atom: 1.228
# Calculated formation energy in eV per formula unit: 1.37
data_LiVPt3
_symmetry_space_group_name_H-M 'P m -3 m'
_symmetry_Int_Tables_number 221
_symmetry_space_group_name_Hall '-P 4 2 3'
_cell_length_a 4.207
_cell_length_b 4.207
_cell_length_c 4.207
_cell_angle_alpha 90.00
_cell_angle_beta 90.00
_cell_angle_gamma 90.00
loop_
_atom_site_label
_atom_site_fract_x
_atom_site_fract_y
_atom_site_fract_z
Li1 0.000 0.000 0.000
V1 0.500 0.500 0.500
Pt1 0.000 0.000 0.500

No. 3
# GGA-PBE LiVPt4, relaxed
# Calculated density in g/cm3: 14.66
# Calculated total energy in eV per cell: -110.6
# V in Å³ per atom: 15.82
# N(E_F) in states/eV per atom: 0.754
# Calculated formation energy in eV per formula unit: -1.68
data_LiVPt4
_symmetry_space_group_name_H-M 'R -3 m'
_symmetry_Int_Tables_number 166
_symmetry_space_group_name_Hall '-R 3 2"'
_cell_length_a 4.1930
_cell_length_b 4.1930
_cell_length_c 18.7003
_cell_angle_alpha 90.00
_cell_angle_beta 90.00
_cell_angle_gamma 120.00
loop_
_atom_site_label
_atom_site_fract_x
_atom_site_fract_y
_atom_site_fract_z
Li1 0.0000 0.0000 0.0000
V1 0.0000 0.0000 0.5000
Pt1 0.0000 0.0000 0.2122
Pt2 0.0000 0.0000 0.3705

No. 4
# GGA-PBE LiV2PtW, relaxed
# Calculated density in g/cm3: 7.67
# Calculated total energy in eV per cell: -33.7
# V in Å³ per atom: 21.12
# N(E_F) in states/eV per atom: 1.392
# Calculated formation energy in eV per formula unit: 5.40
data_LiV2PtW
_symmetry_space_group_name_H-M 'P 4/m m m'
_symmetry_Int_Tables_number 123
_symmetry_space_group_name_Hall '-P 4 2'
_cell_length_a 4.619
_cell_length_b 4.619
_cell_length_c 4.950
_cell_angle_alpha 90.00
_cell_angle_beta 90.00
_cell_angle_gamma 90.00
loop_
_atom_site_label
_atom_site_fract_x
_atom_site_fract_y
_atom_site_fract_z
Li1 0.000 0.000 0.000
V1 0.000 0.500 0.500
Pt1 0.500 0.500 0.000
W1 0.500 0.500 0.500

No. 5
# GGA-PBE LiZrV2Pt, relaxed
# Calculated density in g/cm3: 6.71
# Calculated total energy in eV per cell: -31.7
# V in Å³ per atom: 19.56
# N(E_F) in states/eV per atom: 1.332
# Calculated formation energy in eV per formula unit: 3.01
data_LiZrV2Pt
_symmetry_space_group_name_H-M 'P 4/m m m'
_symmetry_Int_Tables_number 123
_symmetry_space_group_name_Hall '-P 4 2'
_cell_length_a 4.724
_cell_length_b 4.724
_cell_length_c 4.382
_cell_angle_alpha 90.00
_cell_angle_beta 90.00
_cell_angle_gamma 90.00
loop_
_atom_site_label
_atom_site_fract_x
_atom_site_fract_y
_atom_site_fract_z
Li1 0.000 0.000 0.000
Zr1 0.500 0.500 0.000
V1 0.000 0.500 0.500
Pt1 0.000 0.000 0.500

No. 6
# GGA-PBE LiPt4W, relaxed
# Calculated density in g/cm3: 17.89
# Calculated total energy in eV per cell: -40.9
# V in Å³ per atom: 15.03
# N(E_F) in states/eV per atom: 0.990
# Calculated formation energy in eV per formula unit: -1.92
data_LiPt4W
_symmetry_space_group_name_H-M 'P 4/m m m'
_symmetry_Int_Tables_number 123
_symmetry_space_group_name_Hall '-P 4 2'
_cell_length_a 2.775
_cell_length_b 2.775
_cell_length_c 11.708
_cell_angle_alpha 90.00
_cell_angle_beta 90.00
_cell_angle_gamma 90.00
loop_
_atom_site_label
_atom_site_fract_x
_atom_site_fract_y
_atom_site_fract_z
Li1 0.000 0.000 0.000
Pt1 0.000 0.000 0.335
Pt2 0.500 0.500 0.155
W1 0.500 0.500 0.500

No. 7
# GGA-PBE LiPt4W, relaxed
# Calculated density in g/cm3: 16.23
# Calculated total energy in eV per cell: -153.3
# V in Å³ per atom: 16.56
# N(E_F) in states/eV per atom: 0.764
# Calculated formation energy in eV per formula unit: 0.70
data_LiPt4W
_symmetry_space_group_name_H-M 'F -4 3 m'
_symmetry_Int_Tables_number 216
_symmetry_space_group_name_Hall 'F -4 2 3'
_cell_length_a 7.353
_cell_length_b 7.353
_cell_length_c 7.353
_cell_angle_alpha 90.00
_cell_angle_beta 90.00
_cell_angle_gamma 90.00
loop_
_atom_site_label
_atom_site_fract_x
_atom_site_fract_y
_atom_site_fract_z
Li1 0.000 0.000 0.000
Pt1 0.125 0.125 0.625
W1 0.250 0.250 0.250

No. 8
# GGA-PBE LiPtW, relaxed
# Calculated density in g/cm3: 12.45
# Calculated total energy in eV per cell: -80.7
# V in Å³ per atom: 17.15
# N(E_F) in states/eV per atom: 1.372
# Calculated formation energy in eV per formula unit: 0.73
data_LiPtW
_symmetry_space_group_name_H-M 'F -4 3 m'
_symmetry_Int_Tables_number 216
_symmetry_space_group_name_Hall 'F -4 2 3'
_cell_length_a 5.904
_cell_length_b 5.904
_cell_length_c 5.904
_cell_angle_alpha 90.00
_cell_angle_beta 90.00
_cell_angle_gamma 90.00
loop_
_atom_site_label
_atom_site_fract_x
_atom_site_fract_y
_atom_site_fract_z
Li1 0.000 0.000 0.000
Pt1 0.250 0.250 0.250
W1 0.000 0.000 0.500

No. 9
# GGA-PBE LiPtW, relaxed
# Calculated density in g/cm3: 14.57
# Calculated total energy in eV per cell: -41.6
# V in Å³ per atom: 14.66
# N(E_F) in states/eV per atom: 0.577
# Calculated formation energy in eV per formula unit: 0.09
data_LiPtW
_symmetry_space_group_name_H-M 'I 4 m m'
_symmetry_Int_Tables_number 107
_symmetry_space_group_name_Hall 'I 4 -2'
_cell_length_a 2.764
_cell_length_b 2.764
_cell_length_c 11.515
_cell_angle_alpha 90.00
_cell_angle_beta 90.00
_cell_angle_gamma 90.00
loop_
_atom_site_label
_atom_site_fract_x
_atom_site_fract_y
_atom_site_fract_z
Li1 0.000 0.000 0.000
Pt1 0.000 0.000 0.650
W1 0.000 0.000 0.319

No. 10
# GGA-PBE Li2Pt9W, relaxed
# Calculated density in g/cm3: 18.06
# Calculated total energy in eV per cell: -75.7
# V in Å³ per atom: 14.97
# N(E_F) in states/eV per atom: 0.878
# Calculated formation energy in eV per formula unit: -4.55
data_Li2Pt9W
_symmetry_space_group_name_H-M 'P 4/m m m'
_symmetry_Int_Tables_number 123
_symmetry_space_group_name_Hall '-P 4 2'
_cell_length_a 3.921
_cell_length_b 3.921
_cell_length_c 11.683
_cell_angle_alpha 90.00
_cell_angle_beta 90.00
_cell_angle_gamma 90.00
loop_
_atom_site_label
_atom_site_fract_x
_atom_site_fract_y
_atom_site_fract_z
Li1 0.000 0.000 0.159
Pt1 0.000 0.500 0.000
Pt2 0.000 0.500 0.333
Pt3 0.500 0.500 0.165
Pt4 0.500 0.500 0.500
W1 0.000 0.000 0.500

No. 11
# GGA-PBE LiPtW, relaxed
# Calculated density in g/cm3: 14.87
# Calculated total energy in eV per cell: -21.0
# V in Å³ per atom: 14.36
# N(E_F) in states/eV per atom: 0.588
# Calculated formation energy in eV per formula unit: -0.12
data_LiPtW
_symmetry_space_group_name_H-M 'P 3 m 1'
_symmetry_Int_Tables_number 156
_cell_length_a 4.3101
_cell_length_b 4.3101
_cell_length_c 2.6777
_cell_angle_alpha 90.00
_cell_angle_beta 90.00
_cell_angle_gamma 120.00
loop_
_symmetry_equiv_pos_as_xyz
'x,y,z'
'-y,x-y,z'
'-x+y,-x,z'
'-y,-x,z'
'-x+y,y,z'
'x,x-y,z'
loop_
_atom_site_label
_atom_site_fract_x
_atom_site_fract_y
_atom_site_fract_z
Li1 0.0000 0.0000 0.0000
Pt1 0.3333 0.6667 0.2311
W1 0.6667 0.3333 0.6036

No. 12
# GGA-PBE LiPtW, relaxed
# Calculated density in g/cm3: 14.71
# Calculated total energy in eV per cell: -41.8
# V in Å³ per atom: 14.52
# N(E_F) in states/eV per atom: 0.657
# Calculated formation energy in eV per formula unit: -0.02
data_LiPtW
_symmetry_space_group_name_H-M 'I m m 2'
_symmetry_Int_Tables_number 44
_cell_length_a 2.713
_cell_length_b 4.064
_cell_length_c 7.901
_cell_angle_alpha 90.00
_cell_angle_beta 90.00
_cell_angle_gamma 90.00
loop_
_symmetry_equiv_pos_as_xyz
'x,y,z'
'-x,-y,z'
'-x,y,z'
'x,-y,z'
'x+1/2,y+1/2,z+1/2'
'-x+1/2,-y+1/2,z+1/2'
'-x+1/2,y+1/2,z+1/2'
'x+1/2,-y+1/2,z+1/2'
loop_
_atom_site_label
_atom_site_fract_x
_atom_site_fract_y
_atom_site_fract_z
Li1 0.000 0.000 0.000
Pt1 0.000 0.000 0.664
W1 0.000 0.000 0.326

No. 13
# GGA-PBE LiPtW, relaxed
# Calculated density in g/cm3: 13.78
# Calculated total energy in eV per cell: -82.3
# V in Å³ per atom: 15.50
# N(E_F) in states/eV per atom: 0.944
# Calculated formation energy in eV per formula unit: 0.33
data_LiPtW
_symmetry_space_group_name_H-M 'F m m 2'
_symmetry_Int_Tables_number 42
_symmetry_space_group_name_Hall 'F 2 -2'
_cell_length_a 3.150
_cell_length_b 4.405
_cell_length_c 13.409
_cell_angle_alpha 90.00
_cell_angle_beta 90.00
_cell_angle_gamma 90.00
loop_
_atom_site_label
_atom_site_fract_x
_atom_site_fract_y
_atom_site_fract_z
Li1 0.000 0.000 0.000
Pt1 0.000 0.000 0.341
W1 0.000 0.000 0.678

No. 14
# GGA-PBE LiY2Pt, relaxed
# Calculated density in g/cm3: 6.81
# Calculated total energy in eV per cell: -46.6
# V in Å³ per atom: 23.14
# N(E_F) in states/eV per atom: 0.740
# Calculated formation energy in eV per formula unit: -2.43
data_LiY2Pt
_symmetry_space_group_name_H-M 'A m m 2'
_symmetry_Int_Tables_number 38
_cell_length_a 4.530
_cell_length_b 3.834
_cell_length_c 10.659
_cell_angle_alpha 90.00
_cell_angle_beta 90.00
_cell_angle_gamma 90.00
loop_
_symmetry_equiv_pos_as_xyz
'x,y,z'
'-x,-y,z'
'-x,y,z'
'x,-y,z'
'x,y+1/2,z+1/2'
'-x,-y+1/2,z+1/2'
'-x,y+1/2,z+1/2'
'x,-y+1/2,z+1/2'
loop_
_atom_site_label
_atom_site_fract_x
_atom_site_fract_y
_atom_site_fract_z
Li1 0.000 0.000 0.000
Y1 0.000 0.000 0.710
Y2 0.500 0.000 0.429
Pt1 0.500 0.000 0.140

No. 15
# GGA-PBE Li3YPt2, relaxed
# Calculated density in g/cm3: 8.12
# Calculated total energy in eV per cell: -113.8
# V in Å³ per atom: 17.04
# N(E_F) in states/eV per atom: 0.325
# Calculated formation energy in eV per formula unit: -4.16
data_Li3YPt2
_symmetry_space_group_name_H-M 'C 1 2/m 1'
_symmetry_Int_Tables_number 12
_cell_length_a 13.539
_cell_length_b 4.124
_cell_length_c 8.405
_cell_angle_alpha 90.00
_cell_angle_beta 119.36
_cell_angle_gamma 90.00
loop_
_symmetry_equiv_pos_as_xyz
'x,y,z'
'-x,-y,-z'
'-x,y,-z'
'x,-y,z'
'x+1/2,y+1/2,z'
'-x+1/2,-y+1/2,-z'
'-x+1/2,y+1/2,-z'
'x+1/2,-y+1/2,z'
loop_
_atom_site_label
_atom_site_fract_x
_atom_site_fract_y
_atom_site_fract_z
Li1 0.058 0.000 0.393
Li2 0.082 0.500 0.691
Li3 0.223 0.500 0.553
Y1 0.134 0.000 0.016
Pt1 0.064 0.500 0.192
Pt2 0.208 0.000 0.742

No. 16
# GGA-PBE LiY3Pt8, relaxed
# Calculated density in g/cm3: 13.63
# Calculated total energy in eV per cell: -244.8
# V in Å³ per atom: 18.63
# N(E_F) in states/eV per atom: 0.912
# Calculated formation energy in eV per formula unit: -11.95
data_LiY3Pt8
_symmetry_space_group_name_H-M 'R 3 m'
_symmetry_Int_Tables_number 160
_symmetry_space_group_name_Hall 'R 3 -2"'
_cell_length_a 5.4156
_cell_length_b 5.4156
_cell_length_c 26.4019
_cell_angle_alpha 90.00
_cell_angle_beta 90.00
_cell_angle_gamma 120.00
loop_
_atom_site_label
_atom_site_fract_x
_atom_site_fract_y
_atom_site_fract_z
Li1 0.0000 0.0000 0.0000
Y1 0.0000 0.0000 0.1242
Y2 0.0000 0.0000 0.5116
Y3 0.0000 0.0000 0.6402
Pt1 0.0000 0.0000 0.3217
Pt2 0.0000 0.0000 0.8215
Pt3 0.0029 0.5014 0.0717
Pt4 0.1672 0.3344 0.9045

No. 17
# GGA-PBE Li4Y3Pt4, relaxed
# Calculated density in g/cm3: 8.64
# Calculated total energy in eV per cell: -120.1
# V in Å³ per atom: 18.79
# N(E_F) in states/eV per atom: 0.420
# Calculated formation energy in eV per formula unit: -8.86
data_Li4Y3Pt4
_symmetry_space_group_name_H-M 'I m m m'
_symmetry_Int_Tables_number 71
_symmetry_space_group_name_Hall '-I 2 2'
_cell_length_a 3.984
_cell_length_b 7.448
_cell_length_c 13.931
_cell_angle_alpha 90.00
_cell_angle_beta 90.00
_cell_angle_gamma 90.00
loop_
_atom_site_label
_atom_site_fract_x
_atom_site_fract_y
_atom_site_fract_z
Li1 0.000 0.192 0.176
Y1 0.000 0.000 0.376
Y2 0.000 0.500 0.500
Pt1 0.000 0.304 0.000
Pt2 0.000 0.500 0.277

No. 18
# GGA-PBE Li2Y3Pt3, relaxed
# Calculated density in g/cm3: 8.39
# Calculated total energy in eV per cell: -97.4
# V in Å³ per atom: 21.43
# N(E_F) in states/eV per atom: 0.561
# Calculated formation energy in eV per formula unit: -7.37
data_Li2Y3Pt3
_symmetry_space_group_name_H-M 'P 63/m c m'
_symmetry_Int_Tables_number 193
_symmetry_space_group_name_Hall '-P 6c 2'
_cell_length_a 8.4272
_cell_length_b 8.4272
_cell_length_c 5.5746
_cell_angle_alpha 90.00
_cell_angle_beta 90.00
_cell_angle_gamma 120.00
loop_
_atom_site_label
_atom_site_fract_x
_atom_site_fract_y
_atom_site_fract_z
Li1 0.3333 0.6667 0.0000
Y1 0.0000 0.2766 0.2500
Pt1 0.0000 0.3816 0.7500

No. 19
# GGA-PBE LiY2Pt, relaxed
# Calculated density in g/cm3: 7.17
# Calculated total energy in eV per cell: -94.2
# V in Å³ per atom: 21.99
# N(E_F) in states/eV per atom: 1.221
# Calculated formation energy in eV per formula unit: -2.66
data_LiY2Pt
_symmetry_space_group_name_H-M 'F m -3 m'
_symmetry_Int_Tables_number 225
_symmetry_space_group_name_Hall '-F 4 2 3'
_cell_length_a 7.060
_cell_length_b 7.060
_cell_length_c 7.060
_cell_angle_alpha 90.00
_cell_angle_beta 90.00
_cell_angle_gamma 90.00
loop_
_atom_site_label
_atom_site_fract_x
_atom_site_fract_y
_atom_site_fract_z
Li1 0.000 0.000 0.000
Y1 0.250 0.250 0.250
Pt1 0.000 0.000 0.500

No. 20
# GGA-PBE LiY2Pt, relaxed
# Calculated density in g/cm3: 6.83
# Calculated total energy in eV per cell: -22.8
# V in Å³ per atom: 23.08
# N(E_F) in states/eV per atom: 0.799
# Calculated formation energy in eV per formula unit: -1.91
data_LiY2Pt
_symmetry_space_group_name_H-M 'P 4 m m'
_symmetry_Int_Tables_number 99
_cell_length_a 3.555
_cell_length_b 3.555
_cell_length_c 7.305
_cell_angle_alpha 90.00
_cell_angle_beta 90.00
_cell_angle_gamma 90.00
loop_
_symmetry_equiv_pos_as_xyz
'x,y,z'
'-y,x,z'
'-x,-y,z'
'y,-x,z'
'-x,y,z'
'y,x,z'
'x,-y,z'
'-y,-x,z'
loop_
_atom_site_label
_atom_site_fract_x
_atom_site_fract_y
_atom_site_fract_z
Li1 0.000 0.000 0.000
Y1 0.000 0.000 0.376
Y2 0.500 0.500 0.747
Pt1 0.500 0.500 0.157